Compound: KSiTcIr2
Source: Alexandria
Functional: PBE
Structure: relaxed

```
KSiTcIr2
1.0
4.488 0.000 0.000
0.000 4.488 0.000
0.000 0.000 5.228
K Si Tc Ir
1 1 1 2
Cartesian
0.000 0.000 0.000
0.000 0.000 2.614
2.244 2.244 0.000
0.000 2.244 2.614
2.244 0.000 2.614
```

Output
Magnetization (μB/f.u.): 4.29
Formation energy without anion corrections (eV per atom): 1.25
ρ (g cm⁻³): 8.67